[1]
LaNdY2As4 | PBE | optimized geometry

Output
Its formation energy is -1543.1 meV per atom. The value obtained for the volume is 26.7 Å³ per atom.

abc: 7.3100 4.2287 7.3207
angles: 90.00 109.48 90.00
Space group P2/m (No. 10)
One atom of each set of equivalent atoms:
La (0.0000, 0.0000, 0.0000) (multiplicity 1)
Nd (0.0000, 0.5000, 0.5000) (multiplicity 1)
Y (0.5000, 0.0000, 0.5000) (multiplicity 1)
Y (0.5000, 0.5000, 0.0000) (multiplicity 1)
As (0.2599, 0.0000, 0.7515) (multiplicity 2)
As (0.2614, 0.5000, 0.2556) (multiplicity 2)

[2]
La2NiAs2 | PBE | optimized geometry

Output
Its formation energy is -843.1 meV per atom. The value obtained for the volume is 24.0 Å³ per atom.

abc: 7.5447 7.5447 4.2110
angles: 90.00 90.00 90.00
Space group P4/mbm (No. 127)
One atom of each set of equivalent atoms:
La (0.1522, 0.3478, 0.0000) (multiplicity 4)
Ni (0.0000, 0.0000, 0.5000) (multiplicity 2)
As (0.1626, 0.6626, 0.5000) (multiplicity 4)

[3]
LaNiAs | PBE | optimized geometry

Output
Its formation energy is -1079.4 meV per atom. The value obtained for the volume is 20.7 Å³ per atom.

abc: 4.1909 4.1909 16.3572
angles: 90.00 90.00 120.00
Space group P6_3/mmc (No. 194)
One atom of each set of equivalent atoms:
La (0.0000, 0.0000, 0.0000) (multiplicity 2)
La (0.0000, 0.0000, 0.2500) (multiplicity 2)
Ni (0.3333, 0.6667, 0.1261) (multiplicity 4)
As (0.3333, 0.6667, 0.6240) (multiplicity 4)

[4]
La3Ni4As4 | PBE | optimized geometry

Output
Its formation energy is -972.5 meV per atom. The value obtained for the volume is 19.2 Å³ per atom.

abc: 4.1663 4.1922 12.4352
angles: 99.67 99.62 90.02
Space group P-1 (No. 2)
One atom of each set of equivalent atoms:
La (0.0000, 0.0000, 0.0000) (multiplicity 1)
La (0.3470, 0.8469, 0.6936) (multiplicity 2)
Ni (0.0972, 0.5975, 0.1946) (multiplicity 2)
Ni (0.2500, 0.2481, 0.4988) (multiplicity 2)
As (0.1967, 0.6964, 0.3940) (multiplicity 2)
As (0.4447, 0.4444, 0.8894) (multiplicity 2)

[5]
LaNiAs | PBE | optimized geometry

Output
Its formation energy is -1085.2 meV per atom. The value obtained for the volume is 20.7 Å³ per atom.

abc: 4.1817 4.1817 8.2090
angles: 90.00 90.00 120.00
Space group P6_3/mmc (No. 194)
One atom of each set of equivalent atoms:
La (0.0000, 0.0000, 0.0000) (multiplicity 2)
Ni (0.3333, 0.6667, 0.2500) (multiplicity 2)
As (0.3333, 0.6667, 0.7500) (multiplicity 2)

[6]
LaNiAs | PBE | optimized geometry

Output
Its formation energy is -1081.6 meV per atom. The value obtained for the volume is 20.7 Å³ per atom.

abc: 12.2984 4.1895 7.2416
angles: 90.00 90.00 90.00
Space group Amm2 (No. 38)
One atom of each set of equivalent atoms:
La (0.0000, 0.0000, 0.0000) (multiplicity 2)
La (0.3334, 0.0000, 0.9997) (multiplicity 4)
Ni (0.1657, 0.0000, 0.6672) (multiplicity 4)
Ni (0.5000, 0.0000, 0.3322) (multiplicity 2)
As (0.1676, 0.0000, 0.3333) (multiplicity 4)
As (0.5000, 0.0000, 0.6662) (multiplicity 2)